V2AsO | PBE with a Hubbard U | relaxed

As for the mass density: 4.542 g/cm³. The calculation puts the final energy at -6.674 eV/atom.

It has space group I-42d (No. 122), with a = 5.2978 Å, b = 5.2978 Å, c = 10.0454 Å, α = 90.00°, β = 90.00° and γ = 90.00°. The asymmetric unit holds V at (0.1699, 0.2500, 0.1250), As at (0.0000, 0.0000, 0.5000) and O at (0.0000, 0.0000, 0.0000).